[1]
# SrLiZn3, optimized geometry, DFT GGA-PBE
# DOS at the Fermi energy in states/eV per cell: 10.85
# Calculated formation energy in eV per atom: -0.168
# ρ in g cm⁻³: 4.30
# E above lowest polymorph in eV/atom: 0.0000
# DFT total energy in eV per atom: -1.6512
data_SrLiZn3
_symmetry_space_group_name_H-M 'P n m a'
_symmetry_Int_Tables_number 62
_symmetry_space_group_name_Hall '-P 2ac 2n'
_cell_length_a 9.6805
_cell_length_b 4.2913
_cell_length_c 10.8105
_cell_angle_alpha 90.00
_cell_angle_beta 90.00
_cell_angle_gamma 90.00
loop_
_atom_site_label
_atom_site_fract_x
_atom_site_fract_y
_atom_site_fract_z
Sr1 0.1632 0.2500 0.0851
Li1 0.0390 0.2500 0.4149
Zn1 0.0748 0.2500 0.7328
Zn2 0.1682 0.7500 0.8413
Zn3 0.1770 0.7500 0.3247



[2]
# Sr5Li2Zn, optimized geometry, DFT GGA-PBE
# DOS at the Fermi energy in states/eV per cell: 16.70
# Calculated formation energy in eV per atom: -0.006
# ρ in g cm⁻³: 2.70
# DFT total energy in eV per atom: -1.6951
data_Sr5Li2Zn
_symmetry_space_group_name_H-M 'P b a m'
_symmetry_Int_Tables_number 55
_symmetry_space_group_name_Hall '-P 2 2ab'
_cell_length_a 7.7213
_cell_length_b 14.3201
_cell_length_c 5.7651
_cell_angle_alpha 90.00
_cell_angle_beta 90.00
_cell_angle_gamma 90.00
loop_
_atom_site_label
_atom_site_fract_x
_atom_site_fract_y
_atom_site_fract_z
Sr1 0.0000 0.0000 0.0000
Sr2 0.1303 0.2847 0.0000
Sr3 0.1670 0.5980 0.5000
Li1 0.1347 0.8585 0.5000
Zn1 0.0000 0.5000 0.0000



[3]
# Sr4Li2Zn, optimized geometry, DFT GGA-PBE
# DOS at the Fermi energy in states/eV per cell: 23.96
# Calculated formation energy in eV per atom: 0.044
# ρ in g cm⁻³: 2.61
# E above lowest polymorph in eV/atom: 0.0000
# DFT total energy in eV per atom: -1.6458
data_Sr4Li2Zn
_symmetry_space_group_name_H-M 'R -3 m'
_symmetry_Int_Tables_number 166
_symmetry_space_group_name_Hall '-R 3 2"'
_cell_length_a 5.7647
_cell_length_b 5.7647
_cell_length_c 28.4648
_cell_angle_alpha 90.00
_cell_angle_beta 90.00
_cell_angle_gamma 120.00
loop_
_atom_site_label
_atom_site_fract_x
_atom_site_fract_y
_atom_site_fract_z
Sr1 0.0000 0.0000 0.1226
Sr2 0.0000 0.0000 0.3722
Li1 0.0000 0.0000 0.2526
Zn1 0.0000 0.0000 0.0000



[4]
# SrLi2Zn, optimized geometry, DFT GGA-PBE
# DOS at the Fermi energy in states/eV per cell: 2.81
# Calculated formation energy in eV per atom: 0.048
# ρ in g cm⁻³: 2.50
# DFT total energy in eV per atom: -1.6476
data_SrLi2Zn
_symmetry_space_group_name_H-M 'P m m m'
_symmetry_Int_Tables_number 47
_symmetry_space_group_name_Hall '-P 2 2'
_cell_length_a 4.4750
_cell_length_b 4.7496
_cell_length_c 5.2159
_cell_angle_alpha 90.00
_cell_angle_beta 90.00
_cell_angle_gamma 90.00
loop_
_atom_site_label
_atom_site_fract_x
_atom_site_fract_y
_atom_site_fract_z
Sr1 0.0000 0.0000 0.0000
Li1 0.0000 0.5000 0.5000
Li2 0.5000 0.0000 0.5000
Zn1 0.5000 0.5000 0.0000



[5]
# SrLiZn2, optimized geometry, DFT GGA-PBE
# DOS at the Fermi energy in states/eV per cell: 2.42
# Calculated formation energy in eV per atom: -0.108
# ρ in g cm⁻³: 3.66
# E above lowest polymorph in eV/atom: 0.0724
# DFT total energy in eV per atom: -1.6441
data_SrLiZn2
_symmetry_space_group_name_H-M 'P 1 m 1'
_symmetry_Int_Tables_number 6
_symmetry_space_group_name_Hall 'P -2y'
_cell_length_a 3.9304
_cell_length_b 4.3981
_cell_length_c 6.2333
_cell_angle_alpha 90.00
_cell_angle_beta 108.29
_cell_angle_gamma 90.00
loop_
_atom_site_label
_atom_site_fract_x
_atom_site_fract_y
_atom_site_fract_z
Sr1 0.0000 0.0000 0.0000
Li1 0.2892 0.5000 0.5804
Zn1 0.6226 0.5000 0.2455
Zn2 0.7246 0.0000 0.4536



[6]
# SrLiZn2, optimized geometry, DFT GGA-PBE
# DOS at the Fermi energy in states/eV per cell: 2.27
# Calculated formation energy in eV per atom: -0.105
# ρ in g cm⁻³: 4.09
# E above lowest polymorph in eV/atom: 0.0757
# DFT total energy in eV per atom: -1.6408
data_SrLiZn2
_symmetry_space_group_name_H-M 'P 4/m m m'
_symmetry_Int_Tables_number 123
_symmetry_space_group_name_Hall '-P 4 2'
_cell_length_a 3.5835
_cell_length_b 3.5835
_cell_length_c 7.1326
_cell_angle_alpha 90.00
_cell_angle_beta 90.00
_cell_angle_gamma 90.00
loop_
_atom_site_label
_atom_site_fract_x
_atom_site_fract_y
_atom_site_fract_z
Sr1 0.0000 0.0000 0.0000
Li1 0.0000 0.0000 0.5000
Zn1 0.5000 0.5000 0.3128



[7]
# Sr4LiZn, optimized geometry, DFT GGA-PBE
# DOS at the Fermi energy in states/eV per cell: 33.45
# Calculated formation energy in eV per atom: 0.474
# ρ in g cm⁻³: 2.25
# E above lowest polymorph in eV/atom: 0.5219
# DFT total energy in eV per atom: -1.1787
data_Sr4LiZn
_symmetry_space_group_name_H-M 'F -4 3 m'
_symmetry_Int_Tables_number 216
_symmetry_space_group_name_Hall 'F -4 2 3'
_cell_length_a 10.7676
_cell_length_b 10.7676
_cell_length_c 10.7676
_cell_angle_alpha 90.00
_cell_angle_beta 90.00
_cell_angle_gamma 90.00
loop_
_atom_site_label
_atom_site_fract_x
_atom_site_fract_y
_atom_site_fract_z
Sr1 0.1251 0.1251 0.1251
Li1 0.0000 0.0000 0.5000
Zn1 0.2500 0.2500 0.7500



[8]
# SrLi2Zn, optimized geometry, DFT GGA-PBE
# DOS at the Fermi energy in states/eV per cell: 1.80
# Calculated formation energy in eV per atom: -0.049
# ρ in g cm⁻³: 2.72
# DFT total energy in eV per atom: -1.7450
data_SrLi2Zn
_symmetry_space_group_name_H-M 'P 1 m 1'
_symmetry_Int_Tables_number 6
_symmetry_space_group_name_Hall 'P -2y'
_cell_length_a 3.7325
_cell_length_b 3.7130
_cell_length_c 7.3624
_cell_angle_alpha 90.00
_cell_angle_beta 90.11
_cell_angle_gamma 90.00
loop_
_atom_site_label
_atom_site_fract_x
_atom_site_fract_y
_atom_site_fract_z
Sr1 0.0000 0.0000 0.0000
Li1 0.0015 0.0000 0.5465
Li2 0.5024 0.5000 0.3510
Zn1 0.4989 0.5000 0.7229